Record 1
{"formula": "Si8C", "functional": "GGA-PBEsol", "state": "optimized geometry", "cell": [[2.770, 0.000, 0.000], [1.385, 6.604, 0.000], [1.385, 0.000, 6.604]], "species": ["Si", "Si", "Si", "Si", "Si", "Si", "Si", "Si", "C"], "frac_coords": [[0.366, 0.000, 0.268], [0.634, 0.000, 0.732], [0.663, 0.337, 0.337], [0.366, 0.268, 0.000], [0.000, 0.337, 0.663], [0.634, 0.732, 0.000], [0.337, 0.663, 0.663], [0.000, 0.663, 0.337], [0.000, 0.000, 0.000]], "raw_formation_energy_ev_per_atom": 0.603, "final_energy_ev_per_atom": -5.576, "density_g_cm3": 3.253}

Record 2
{"formula": "Li2Ni3P9O28", "functional": "GGA-PBEsol", "state": "optimized geometry", "cell": [[-1.680, -6.263, 2.494], [5.378, 2.544, 6.355], [-7.239, 5.167, -0.280]], "species": ["Li", "Li", "Ni", "Ni", "Ni", "P", "P", "P", "P", "P", "P", "P", "P", "P", "O", "O", "O", "O", "O", "O", "O", "O", "O", "O", "O", "O", "O", "O", "O", "O", "O", "O", "O", "O", "O", "O", "O", "O", "O", "O", "O", "O"], "frac_coords": [[0.707, 0.926, 0.240], [0.293, 0.074, 0.760], [0.500, 0.500, 0.000], [0.239, 0.986, 0.241], [0.761, 0.014, 0.759], [0.301, 0.762, 0.450], [0.785, 0.759, 0.936], [0.680, 0.702, 0.423], [0.157, 0.676, 0.902], [0.000, 0.500, 0.500], [0.320, 0.298, 0.577], [0.843, 0.324, 0.098], [0.699, 0.238, 0.550], [0.215, 0.241, 0.064], [0.413, 0.919, 0.628], [0.908, 0.902, 0.124], [0.282, 0.866, 0.032], [0.801, 0.891, 0.554], [0.741, 0.815, 0.787], [0.229, 0.792, 0.285], [0.643, 0.696, 0.242], [0.125, 0.661, 0.713], [0.569, 0.650, 0.905], [0.098, 0.639, 0.432], [0.455, 0.644, 0.431], [0.923, 0.630, 0.896], [0.237, 0.539, 0.948], [0.777, 0.565, 0.467], [0.763, 0.461, 0.052], [0.223, 0.435, 0.533], [0.545, 0.356, 0.569], [0.077, 0.370, 0.104], [0.431, 0.350, 0.095], [0.902, 0.361, 0.568], [0.357, 0.304, 0.758], [0.875, 0.339, 0.287], [0.259, 0.185, 0.213], [0.771, 0.208, 0.715], [0.718, 0.134, 0.968], [0.199, 0.109, 0.446], [0.587, 0.081, 0.372], [0.092, 0.098, 0.876]], "raw_formation_energy_ev_per_atom": -1.875, "final_energy_ev_per_atom": -7.149, "density_g_cm3": 3.380}